Entry 1:
DFT (PBE) results for crystalline NiN at its relaxed geometry.

Lattice parameters (Å, degrees): 2.8690 2.8690 2.8690 60.00 60.00 60.00
Last column: nearest neighbours and their distance in Å.
Fractional coordinates of all 2 atoms:
Ni 0.0000 0.0000 0.0000  6 N 2.03
N 0.5000 0.5000 0.5000  6 Ni 2.03

formation energy without anion corrections = 0.627 eV per atom
ρ = 7.23 Mg/m³
energy relative to the lowest polymorph listed for this composition = 0.382 eV/atom


Entry 2:
DFT (PBE) results for crystalline NiN at its relaxed geometry.

Lattice parameters (Å, degrees): 3.3700 3.3700 4.7547 90.00 90.00 90.00
Last column: nearest neighbours and their distance in Å.
Fractional coordinates of all 4 atoms:
Ni 0.0000 0.0000 0.0000  2 N 1.69
Ni 0.0000 0.0000 0.5000  2 N 1.69
N 0.0000 0.5000 0.0000  2 Ni 1.69
N 0.5000 0.0000 0.5000  2 Ni 1.69

formation energy without anion corrections = 1.018 eV per atom
ρ = 4.47 Mg/m³
energy relative to the lowest polymorph listed for this composition = 0.774 eV/atom


Entry 3:
DFT (PBE) results for crystalline NiN at its relaxed geometry.

Lattice parameters (Å, degrees): 5.7017 5.7017 5.7017 94.32 94.32 148.14
Last column: nearest neighbours and their distance in Å.
Fractional coordinates of all 8 atoms:
Ni 0.1339 0.7163 0.8501  4 N 1.79-1.92
Ni 0.2837 0.1339 0.4176  4 N 1.79-1.92
Ni 0.7163 0.8661 0.5824  4 N 1.79-1.92
Ni 0.8661 0.2837 0.1499  4 N 1.79-1.92
N 0.0970 0.2867 0.3837  4 Ni 1.79-1.92
N 0.2867 0.9030 0.1898  4 Ni 1.79-1.92
N 0.7133 0.0970 0.8102  4 Ni 1.79-1.92
N 0.9030 0.7133 0.6163  4 Ni 1.79-1.92

formation energy without anion corrections = 0.515 eV per atom
ρ = 5.13 Mg/m³
energy relative to the lowest polymorph listed for this composition = 0.271 eV/atom


Entry 4:
DFT (PBE) results for crystalline Ni3N at its relaxed geometry.

Lattice parameters (Å, degrees): 4.6040 4.6040 4.2938 90.00 90.00 120.00
Last column: nearest neighbours and their distance in Å.
Fractional coordinates of all 8 atoms:
Ni 0.0000 0.3295 0.0000  2 N 1.88
Ni 0.0000 0.6705 0.5000  2 N 1.88
Ni 0.3295 0.0000 0.0000  2 N 1.88
Ni 0.3295 0.3295 0.5000  2 N 1.88
Ni 0.6705 0.0000 0.5000  2 N 1.88
Ni 0.6705 0.6705 0.0000  2 N 1.88
N 0.3333 0.6667 0.2500  6 Ni 1.88
N 0.6667 0.3333 0.7500  6 Ni 1.88

formation energy without anion corrections = 0.031 eV per atom
ρ = 8.01 Mg/m³


Entry 5:
DFT (PBE) results for crystalline NiN at its relaxed geometry.

Lattice parameters (Å, degrees): 5.0655 5.0655 5.0655 109.47 109.47 109.47
Last column: nearest neighbours and their distance in Å.
Fractional coordinates of all 8 atoms:
Ni 0.0000 0.0000 0.3128  4 N 1.75-1.92
Ni 0.0000 0.3128 0.0000  4 N 1.75-1.92
Ni 0.3128 0.0000 0.0000  4 N 1.75-1.92
Ni 0.6872 0.6872 0.6872  4 N 1.75-1.92
N 0.0000 0.0000 0.6586  4 Ni 1.75-1.92
N 0.0000 0.6586 0.0000  4 Ni 1.75-1.92
N 0.3414 0.3414 0.3414  4 Ni 1.75-1.92
N 0.6586 0.0000 0.0000  4 Ni 1.75-1.92

formation energy without anion corrections = 0.524 eV per atom
ρ = 4.83 Mg/m³
energy relative to the lowest polymorph listed for this composition = 0.279 eV/atom


Entry 6:
DFT (PBE) results for crystalline NiN at its relaxed geometry.

Lattice parameters (Å, degrees): 5.7359 5.7359 5.7359 28.06 28.06 28.06
Last column: nearest neighbours and their distance in Å.
Fractional coordinates of all 4 atoms:
Ni 0.2297 0.2297 0.2297  3 N 1.94
Ni 0.7703 0.7703 0.7703  3 N 1.94
N 0.0374 0.0374 0.0374  1 N 1.23
N 0.9626 0.9626 0.9626  1 N 1.23

formation energy without anion corrections = 0.265 eV per atom
ρ = 6.55 Mg/m³
energy relative to the lowest polymorph listed for this composition = 0.021 eV/atom


Entry 7:
DFT (PBE) results for crystalline NiN at its relaxed geometry.

Lattice parameters (Å, degrees): 5.2796 5.2796 5.2796 90.00 90.00 90.00
Last column: nearest neighbours and their distance in Å.
Fractional coordinates of all 12 atoms:
Ni 0.0000 0.2500 0.5000  4 N 1.87
Ni 0.0000 0.7500 0.5000  4 N 1.87
Ni 0.2500 0.5000 0.0000  4 N 1.87
Ni 0.5000 0.0000 0.2500  4 N 1.87
Ni 0.5000 0.0000 0.7500  4 N 1.87
Ni 0.7500 0.5000 0.0000  4 N 1.87
N 0.0000 0.5000 0.2500  4 Ni 1.87
N 0.0000 0.5000 0.7500  4 Ni 1.87
N 0.2500 0.0000 0.5000  4 Ni 1.87
N 0.5000 0.2500 0.0000  4 Ni 1.87
N 0.5000 0.7500 0.0000  4 Ni 1.87
N 0.7500 0.0000 0.5000  4 Ni 1.87

formation energy without anion corrections = 0.550 eV per atom
ρ = 4.92 Mg/m³
energy relative to the lowest polymorph listed for this composition = 0.305 eV/atom


Entry 8:
DFT (PBE) results for crystalline NiN at its relaxed geometry.

Lattice parameters (Å, degrees): 8.1963 8.1963 3.2025 90.00 90.00 90.00
Last column: nearest neighbours and their distance in Å.
Fractional coordinates of all 16 atoms:
Ni 0.0847 0.6206 0.0000  4 N 1.85-1.93
Ni 0.1149 0.2805 0.5000  4 N 1.81-1.93
Ni 0.2805 0.8851 0.5000  4 N 1.81-1.93
Ni 0.3794 0.0847 0.0000  4 N 1.85-1.93
Ni 0.6206 0.9153 0.0000  4 N 1.85-1.93
Ni 0.7195 0.1149 0.5000  4 N 1.81-1.93
Ni 0.8851 0.7195 0.5000  4 N 1.81-1.93
Ni 0.9153 0.3794 0.0000  4 N 1.85-1.93
N 0.1206 0.7321 0.5000  4 Ni 1.81-1.93
N 0.1488 0.4047 0.0000  4 Ni 1.85-1.93
N 0.2679 0.1206 0.5000  4 Ni 1.81-1.93
N 0.4047 0.8512 0.0000  4 Ni 1.85-1.93
N 0.5953 0.1488 0.0000  4 Ni 1.85-1.93
N 0.7321 0.8794 0.5000  4 Ni 1.81-1.93
N 0.8512 0.5953 0.0000  4 Ni 1.85-1.93
N 0.8794 0.2679 0.5000  4 Ni 1.81-1.93

formation energy without anion corrections = 0.571 eV per atom
ρ = 4.49 Mg/m³
energy relative to the lowest polymorph listed for this composition = 0.327 eV/atom